Density functional theory data (GGA-PBE) for Eu2MgIn after structural relaxation.

Values from the calculation:
ΔE_f (kcal/mol of atoms): -6.78
ρ (g cm⁻³): 5.876

Lattice parameters (Å, degrees): 3.9683 5.6169 5.6169 90.00 90.00 90.00
Site moments in Bohr magnetons follow the coordinates.
Atoms (fractional coordinates):
Eu1 0.0000 0.5000 0.0000  6.85
Eu2 0.0000 0.0000 0.5000  6.85
In1 0.5000 0.0000 0.0000  -0.02
Mg1 0.5000 0.5000 0.5000  0.00

***

Density functional theory data (GGA-PBE) for RbTlCl3 after structural relaxation.

Values from the calculation:
ρ (g cm⁻³): 4.040
ΔE_f (raw) (eV/f.u.): -5.9

Lattice parameters (Å, degrees): 17.6920 9.2460 9.2460 153.25 148.68 31.32
Atoms (fractional coordinates):
Cl1 0.0732 0.2672 0.7328
Cl2 0.2230 0.7855 0.2145
Rb1 0.7779 0.0308 0.9692
Cl3 0.9268 0.7328 0.2672
Tl1 0.3418 0.1007 0.8993
Cl4 0.4154 0.4260 0.5740
Tl2 0.6582 0.8993 0.1007
Rb2 0.2221 0.9692 0.0308
Cl5 0.7770 0.2145 0.7855
Cl6 0.5846 0.5740 0.4260

***

Density functional theory data (GGA-PBE) for Ca2TbGd after structural relaxation.

Values from the calculation:
ΔE_f (kcal/mol of atoms): 3.71
ρ (g cm⁻³): 4.583
ΔE to the lowest computed polymorph (kJ/mol of atoms): 0.5

Lattice parameters (Å, degrees): 4.0786 4.0786 8.6321 90.00 90.00 90.00
Site moments in Bohr magnetons follow the coordinates.
Atoms (fractional coordinates):
Tb1 0.5000 0.5000 0.0000  -0.15
Ca1 0.0000 0.0000 0.2469  0.01
Ca2 0.0000 0.0000 0.7531  0.01
Gd1 0.5000 0.5000 0.5000  7.27

***

Density functional theory data (GGA-PBE) for NdAgS2 after structural relaxation.

Values from the calculation:
ρ (g cm⁻³): 4.373
ΔE_f (raw) (eV/f.u.): -5.1

Lattice parameters (Å, degrees): 4.2828 4.2828 7.9546 74.38 74.38 60.00
Atoms (fractional coordinates):
S1 0.8960 0.8960 0.3120
Nd1 0.5000 0.5000 0.5000
Ag1 0.0000 0.0000 0.0000
S2 0.1040 0.1040 0.6880

***

Density functional theory data (GGA-PBE) for Tm2Ga8Co after structural relaxation.

Values from the calculation:
ΔE_f (kcal/mol of atoms): -10.91
ρ (g cm⁻³): 8.113

Lattice parameters (Å, degrees): 4.2086 4.2086 11.0311 90.00 90.00 90.00
Atoms (fractional coordinates):
Ga1 0.0000 0.5000 0.1168
Ga2 0.0000 0.5000 0.5000
Ga3 0.5000 0.0000 0.8832
Tm1 0.0000 0.0000 0.6942
Co1 0.0000 0.0000 0.0000
Ga4 0.5000 0.5000 0.6938
Ga5 0.5000 0.0000 0.5000
Ga6 0.5000 0.5000 0.3062
Tm2 0.0000 0.0000 0.3058
Ga7 0.5000 0.0000 0.1168
Ga8 0.0000 0.5000 0.8832

***

Density functional theory data (GGA-PBE) for ScMoN after structural relaxation.

Values from the calculation:
ρ (g cm⁻³): 6.424
ΔE_f (raw) (eV/f.u.): -3.5

Lattice parameters (Å, degrees): 3.2446 3.2446 7.6072 90.00 90.00 90.00
Atoms (fractional coordinates):
N1 0.0000 0.5000 0.3562
Sc1 0.5000 0.0000 0.3567
Mo1 0.0000 0.5000 0.0815
N2 0.5000 0.0000 0.6438
Mo2 0.5000 0.0000 0.9185
Sc2 0.0000 0.5000 0.6433

***

We obtain E_tot values of -6.514, -2.962, -5.518, -5.236, -4.134, -9.653 eV/atom for the records listed above, in that order.